[1]
# TaTiB2

A geometry-optimized TaTiB2 structure (PBE-GGA, Alexandria).

Cell: 4.0198 4.0198 4.0198 Å, 60.00 60.00 60.00°
With the nearest neighbours (Å) after each atom.
Fractional positions:
B: 0.7500 0.7500 0.7500  4 Ta 2.46, 4 Ti 2.46
B: 0.2500 0.2500 0.2500  4 Ta 2.46, 4 Ti 2.46
Ta: 0.5000 0.5000 0.5000  8 B 2.46
Ti: 0.0000 0.0000 0.0000  8 B 2.46

Values from the calculation:
The value obtained for the energy above the most stable polymorph in this dataset is 994 meV/atom. The value obtained for the size of the total moment is 0.00 μB per formula unit. Its formation energy is 0.148 eV/atom.

[2]
# PaTe3H

A geometry-optimized PaTe3H structure (PBE-GGA, Alexandria).

Cell: 8.7252 8.7252 8.7252 Å, 61.35 136.11 139.35°
With the nearest neighbours (Å) after each atom.
Fractional positions:
Pa: 0.4675 0.7818 0.1857  2 H 1.94
Pa: 0.5961 0.2818 0.8143  2 H 1.94
Te: 0.1281 0.2818 0.3463  2 H 2.72
Te: 0.5315 0.8590 0.8275  1 H 2.59
Te: 0.5315 0.2041 0.1725  1 H 2.59
Te: 0.9355 0.7818 0.6537  2 H 2.72
Te: 0.0316 0.3590 0.8275  1 H 2.59
Te: 0.0316 0.7041 0.1725  1 H 2.59
H: 0.5313 0.0316 0.9997  2 Pa 1.94
H: 0.0319 0.5316 0.0003  2 Pa 1.94

Values from the calculation:
The value obtained for the size of the total moment is 0.00 μB per formula unit. The total energy is -48.30 eV for the cell shown.

[3]
# LiMg2Pb

A geometry-optimized LiMg2Pb structure (PBE-GGA, Alexandria).

Cell: 4.3915 3.2733 7.1657 Å, 63.05 90.00 90.00°
With the nearest neighbours (Å) after each atom.
Fractional positions:
Pb: 0.0000 0.4900 0.5110  6 Mg 3.10-3.29, 4 Li 3.14-3.15, 2 Pb 3.27
Mg: 0.5000 0.2587 0.2410  2 Li 3.13-3.26, 6 Mg 3.15-3.27, 4 Pb 3.24
Mg: 0.0000 0.0031 0.9963  2 Pb 3.10-3.29, 4 Li 3.15-3.16, 6 Mg 3.15-3.27
Li: 0.5000 0.7482 0.7517  6 Mg 3.13-3.26, 4 Pb 3.14-3.15, 2 Li 3.27

Values from the calculation:
The value obtained for the size of the total moment is 0.00 μB per formula unit. Its formation energy is -0.115 eV/atom.

[4]
# LiPmYAg

A geometry-optimized LiPmYAg structure (PBE-GGA, Alexandria).

Cell: 5.2440 5.2440 5.2440 Å, 60.00 60.00 60.00°
With the nearest neighbours (Å) after each atom.
Fractional positions:
Li: 0.5000 0.5000 0.5000  4 Y 3.21, 4 Pm 3.21
Y: 0.7500 0.7500 0.7500  4 Li 3.21, 4 Ag 3.21
Pm: 0.2500 0.2500 0.2500  4 Li 3.21, 4 Ag 3.21
Ag: 0.0000 0.0000 0.0000  4 Pm 3.21, 4 Y 3.21

Values from the calculation:
The value obtained for the size of the total moment is 0.00 μB per formula unit. Its formation energy is -0.086 eV/atom.

[5]
# ErSn4

A geometry-optimized ErSn4 structure (PBE-GGA, Alexandria).

Cell: 5.7008 5.7008 5.7008 Å, 90.00 90.00 90.00°
With the nearest neighbours (Å) after each atom.
Fractional positions:
Er: 0.5000 0.5000 0.5000  6 Sn 2.85
Sn: 0.5000 0.5000 0.0000  2 Er 2.85
Sn: 0.0000 0.5000 0.5000  2 Er 2.85
Sn: 0.5000 0.0000 0.5000  2 Er 2.85
Sn: 0.0000 0.0000 0.0000  12 Sn 4.03

Values from the calculation:
The value obtained for the energy above the most stable polymorph in this dataset is 759 meV/atom. The value obtained for the size of the total moment is 0.00 μB per formula unit. Its formation energy is 0.480 eV/atom.

[6]
# La2YMgCo

A geometry-optimized La2YMgCo structure (PBE-GGA, Alexandria).

Cell: 5.2941 5.2941 5.2653 Å, 90.00 90.00 90.00°
With the nearest neighbours (Å) after each atom.
Fractional positions:
Co: 0.0000 0.0000 0.0000  2 Mg 2.63, 4 La 2.65
Y: 0.5000 0.5000 0.5000  8 La 3.73, 4 Mg 3.74
Mg: 0.0000 0.0000 0.5000  2 Co 2.63
La: 0.5000 0.0000 0.0000  2 Co 2.65
La: 0.0000 0.5000 0.0000  2 Co 2.65

Values from the calculation:
The value obtained for the energy above the most stable polymorph in this dataset is 109 meV/atom. The value obtained for the size of the total moment is 0.47 μB per formula unit. Its formation energy is 0.028 eV/atom.